[1]
Pu5GaRu6, relaxed, DFT GGA-PBE; N(E_F) = 2.15 states/eV per atom; volume = 221 Å³ per cell; E_form = -2.2 eV per formula unit; DFT total energy = -11.042 eV/atom
1.0
4.655 0.000 0.000
-0.005 6.538 0.000
-1.873 -3.264 7.254
Pu Ga Ru
5 1 6
Cartesian
0.000 0.000 0.000 Pu
0.422 3.275 4.697 Pu
0.402 0.005 4.986 Pu
2.375 3.269 2.269 Pu
2.355 -0.001 2.558 Pu
-0.003 3.269 0.000 Ga
-0.018 1.668 2.245 Ru
-0.021 4.872 2.243 Ru
2.324 1.623 0.003 Ru
0.453 1.652 7.251 Ru
2.798 -1.598 5.012 Ru
2.795 1.606 5.009 Ru

---

[2]
Pu12GaRu6, relaxed, DFT GGA-PBE; N(E_F) = 2.93 states/eV per atom; volume = 376 Å³ per cell; E_form = -1.1 eV per formula unit; DFT total energy = -12.198 eV/atom
1.0
5.349 3.088 3.796
-5.349 3.088 3.796
0.000 -6.177 3.796
Pu Ga Ru
12 1 6
Cartesian
-1.673 0.555 2.490 Pu
0.356 -1.726 2.490 Pu
-2.284 -0.544 4.750 Pu
-0.671 -2.250 6.638 Pu
1.317 1.171 2.490 Pu
1.613 -1.706 4.750 Pu
-1.613 1.706 6.638 Pu
-1.317 -1.171 8.899 Pu
0.671 2.250 4.750 Pu
2.284 0.544 6.638 Pu
-0.356 1.726 8.899 Pu
1.673 -0.555 8.899 Pu
0.000 0.000 0.000 Ga
-0.756 -3.648 4.284 Ru
-3.538 -1.169 7.105 Ru
-2.781 2.479 4.284 Ru
2.781 -2.479 7.105 Ru
3.538 1.169 4.284 Ru
0.756 3.648 7.105 Ru

---

[3]
Pu2Ga2Ru, relaxed, DFT GGA-PBE; N(E_F) = 3.10 states/eV per atom; volume = 210 Å³ per cell; E_form = -1.5 eV per formula unit; DFT total energy = -9.101 eV/atom
1.0
5.440 -1.926 0.000
5.440 1.926 0.000
-3.562 0.000 10.025
Pu Ga Ru
4 4 2
Cartesian
-0.548 0.000 1.604 Pu
-0.039 0.000 6.187 Pu
7.357 0.000 3.838 Pu
7.866 0.000 8.421 Pu
0.146 0.000 9.541 Ga
2.973 0.000 6.110 Ga
4.344 0.000 3.915 Ga
7.172 0.000 0.484 Ga
2.574 0.000 1.992 Ru
4.744 0.000 8.033 Ru

---

[4]
Pu5GaRu4, relaxed, DFT GGA-PBE; N(E_F) = 3.15 states/eV per atom; volume = 195 Å³ per cell; E_form = 0.8 eV per formula unit; DFT total energy = -11.096 eV/atom
1.0
3.214 0.000 0.000
0.000 3.214 0.000
0.000 0.000 18.835
Pu Ga Ru
5 1 4
Cartesian
0.000 0.000 0.000 Pu
0.000 0.000 3.603 Pu
0.000 0.000 7.204 Pu
0.000 0.000 11.631 Pu
0.000 0.000 15.232 Pu
1.607 1.607 9.417 Ga
1.607 1.607 2.055 Ru
1.607 1.607 5.168 Ru
1.607 1.607 13.667 Ru
1.607 1.607 16.780 Ru

---

[5]
PuGa2Ru3, relaxed, DFT GGA-PBE; N(E_F) = 1.17 states/eV per atom; volume = 94 Å³ per cell; E_form = -1.9 eV per formula unit; DFT total energy = -8.350 eV/atom
1.0
4.485 0.000 0.000
-2.243 3.885 0.000
0.000 0.000 5.393
Pu Ga Ru
1 2 3
Cartesian
0.000 0.000 0.000 Pu
0.000 2.590 3.644 Ga
2.243 1.295 1.749 Ga
0.000 0.000 2.696 Ru
0.000 2.590 1.058 Ru
2.243 1.295 4.335 Ru

---

[6]
Pu2Ga3Ru, relaxed, DFT GGA-PBE; N(E_F) = 2.54 states/eV per atom; volume = 112 Å³ per cell; E_form = -2.3 eV per formula unit; DFT total energy = -8.228 eV/atom
1.0
2.739 1.581 4.311
-2.739 1.581 4.311
0.000 -3.163 4.311
Pu Ga Ru
2 3 1
Cartesian
0.000 0.000 1.584 Pu
0.000 0.000 11.348 Pu
-1.369 -0.791 4.311 Ga
-1.369 0.791 8.622 Ga
0.000 1.581 4.311 Ga
0.000 0.000 6.466 Ru